[1]
PWIN2 | SCAN | PBEsol geometry

Summary:
Size of the total moment = 0.558 μB/atom
Uncorrected formation energy = 2.085 eV per atom
Excess energy over the best structure of this formula in the dataset = 111.2 kJ/mol of atoms
Total energy = -25.00 eV/atom

Geometry as CIF:
```
data_PWIN2
_chemical_formula_sum 'P1 W1 I1 N2'
_cell_length_a 3.616
_cell_length_b 3.616
_cell_length_c 6.409
_cell_angle_alpha 90.00
_cell_angle_beta 90.00
_cell_angle_gamma 90.00
_symmetry_space_group_name_H-M 'P 4/m m m'
_symmetry_Int_Tables_number 123
_symmetry_space_group_name_Hall '-P 4 2'
loop_
_atom_site_label
_atom_site_fract_x
_atom_site_fract_y
_atom_site_fract_z
_atom_site_occupancy
P1 0.000 0.000 0.000 1
W1 0.500 0.500 0.500 1
I1 0.000 0.000 0.500 1
N1 0.000 0.500 0.000 1
```

***

[2]
PWIN2 | SCAN | PBEsol geometry

Summary:
Size of the total moment = 0.271 μB/atom
Uncorrected formation energy = 0.932 eV per atom
Excess energy over the best structure of this formula in the dataset = 0.0 kJ/mol of atoms
Total energy = -26.15 eV/atom

Geometry as CIF:
```
data_PWIN2
_chemical_formula_sum 'P1 W1 I1 N2'
_cell_length_a 3.911
_cell_length_b 3.911
_cell_length_c 5.698
_cell_angle_alpha 90.00
_cell_angle_beta 90.00
_cell_angle_gamma 90.00
_symmetry_space_group_name_H-M 'P 4/m m m'
_symmetry_Int_Tables_number 123
_symmetry_space_group_name_Hall '-P 4 2'
loop_
_atom_site_label
_atom_site_fract_x
_atom_site_fract_y
_atom_site_fract_z
_atom_site_occupancy
P1 0.000 0.000 0.000 1
W1 0.500 0.500 0.500 1
I1 0.500 0.500 0.000 1
N1 0.000 0.500 0.500 1
```

***

[3]
YPI2N | SCAN | PBEsol geometry

Summary:
Size of the total moment = 0.000 μB/atom
Uncorrected formation energy = 0.101 eV per atom
Total energy = -24.10 eV/atom

Geometry as CIF:
```
data_YPI2N
_chemical_formula_sum 'Y1 P1 I2 N1'
_cell_length_a 5.742
_cell_length_b 5.742
_cell_length_c 3.472
_cell_angle_alpha 90.00
_cell_angle_beta 90.00
_cell_angle_gamma 90.00
_symmetry_space_group_name_H-M 'P 4/m m m'
_symmetry_Int_Tables_number 123
_symmetry_space_group_name_Hall '-P 4 2'
loop_
_atom_site_label
_atom_site_fract_x
_atom_site_fract_y
_atom_site_fract_z
_atom_site_occupancy
Y1 0.000 0.000 0.000 1
P1 0.500 0.500 0.500 1
I1 0.000 0.500 0.500 1
N1 0.500 0.500 0.000 1
```

***

[4]
Pb3IN | SCAN | PBEsol geometry

Summary:
Size of the total moment = 0.000 μB/atom
Uncorrected formation energy = 0.548 eV per atom
Total energy = -54.13 eV/atom

Geometry as CIF:
```
data_Pb3IN
_chemical_formula_sum 'Pb3 I1 N1'
_cell_length_a 5.134
_cell_length_b 5.134
_cell_length_c 5.134
_cell_angle_alpha 90.00
_cell_angle_beta 90.00
_cell_angle_gamma 90.00
_symmetry_space_group_name_H-M 'P m -3 m'
_symmetry_Int_Tables_number 221
_symmetry_space_group_name_Hall '-P 4 2 3'
loop_
_atom_site_label
_atom_site_fract_x
_atom_site_fract_y
_atom_site_fract_z
_atom_site_occupancy
Pb1 0.000 0.000 0.500 1
I1 0.500 0.500 0.500 1
N1 0.000 0.000 0.000 1
```

***

Which of these has the highest size of the total moment? number 1